1:
Entry from the Alexandria database: Sm8Er2Sc after structural relaxation (GGA-PBE).

CIF file:
```
data_Sm8Er2Sc
_chemical_formula_sum 'Sm16 Er4 Sc2'
_space_group_name_H-M_alt 'C 1 2/m 1'
_space_group_IT_number 12
_cell_length_a 12.017
_cell_length_b 11.461
_cell_length_c 5.857
_cell_angle_alpha 90.00
_cell_angle_beta 103.57
_cell_angle_gamma 90.00
loop_
_space_group_symop_operation_xyz
'x,y,z'
'-x,-y,-z'
'-x,y,-z'
'x,-y,z'
'x+1/2,y+1/2,z'
'-x+1/2,-y+1/2,-z'
'-x+1/2,y+1/2,-z'
'x+1/2,-y+1/2,z'
loop_
_atom_site_label
_atom_site_fract_x
_atom_site_fract_y
_atom_site_fract_z
_atom_site_occupancy
Sm1 0.078 0.000 0.287 1
Sm2 0.104 0.256 0.791 1
Sm3 0.229 0.000 0.902 1
Er1 0.134 0.500 0.506 1
Sc1 0.000 0.500 0.000 1
```

2:
Entry from the Alexandria database: Sm8Er2Sc after structural relaxation (GGA-PBE).

CIF file:
```
data_Sm8Er2Sc
_chemical_formula_sum 'Sm16 Er4 Sc2'
_space_group_name_H-M_alt 'I m m m'
_space_group_IT_number 71
_space_group_name_Hall '-I 2 2'
_cell_length_a 5.633
_cell_length_b 7.962
_cell_length_c 16.089
_cell_angle_alpha 90.00
_cell_angle_beta 90.00
_cell_angle_gamma 90.00
loop_
_atom_site_label
_atom_site_fract_x
_atom_site_fract_y
_atom_site_fract_z
_atom_site_occupancy
Sm1 0.000 0.000 0.168 1
Sm2 0.000 0.209 0.368 1
Sm3 0.000 0.283 0.000 1
Er1 0.000 0.500 0.200 1
Sc1 0.000 0.500 0.500 1
```

Relative energy table, unit meV per atom: 1 309; 2 0

1:
Entry from the Alexandria database: Sm2Er8Sc after structural relaxation (GGA-PBE).

CIF file:
```
data_Sm2Er8Sc
_chemical_formula_sum 'Sm4 Er16 Sc2'
_space_group_name_H-M_alt 'C 1 2/m 1'
_space_group_IT_number 12
_cell_length_a 15.262
_cell_length_b 7.773
_cell_length_c 6.183
_cell_angle_alpha 90.00
_cell_angle_beta 106.10
_cell_angle_gamma 90.00
loop_
_space_group_symop_operation_xyz
'x,y,z'
'-x,-y,-z'
'-x,y,-z'
'x,-y,z'
'x+1/2,y+1/2,z'
'-x+1/2,-y+1/2,-z'
'-x+1/2,y+1/2,-z'
'x+1/2,-y+1/2,z'
loop_
_atom_site_label
_atom_site_fract_x
_atom_site_fract_y
_atom_site_fract_z
_atom_site_occupancy
Sm1 0.119 0.000 0.489 1
Er1 0.068 0.304 0.788 1
Er2 0.144 0.500 0.318 1
Er3 0.226 0.000 0.089 1
Sc1 0.000 0.000 0.000 1
```

2:
Entry from the Alexandria database: Sm2Er8Sc after structural relaxation (GGA-PBE).

CIF file:
```
data_Sm2Er8Sc
_chemical_formula_sum 'Sm4 Er16 Sc2'
_space_group_name_H-M_alt 'C 1 2/m 1'
_space_group_IT_number 12
_cell_length_a 17.901
_cell_length_b 4.951
_cell_length_c 7.850
_cell_angle_alpha 90.00
_cell_angle_beta 105.28
_cell_angle_gamma 90.00
loop_
_space_group_symop_operation_xyz
'x,y,z'
'-x,-y,-z'
'-x,y,-z'
'x,-y,z'
'x+1/2,y+1/2,z'
'-x+1/2,-y+1/2,-z'
'-x+1/2,y+1/2,-z'
'x+1/2,-y+1/2,z'
loop_
_atom_site_label
_atom_site_fract_x
_atom_site_fract_y
_atom_site_fract_z
_atom_site_occupancy
Sm1 0.226 0.000 0.137 1
Er1 0.044 0.000 0.230 1
Er2 0.089 0.500 0.950 1
Er3 0.134 0.000 0.677 1
Er4 0.180 0.500 0.409 1
Sc1 0.000 0.500 0.500 1
```

Relative energy table, unit meV per atom: 1 237; 2 0

1:
Entry from the Alexandria database: Sm4Er5Sc after structural relaxation (GGA-PBE).

CIF file:
```
data_Sm4Er5Sc
_chemical_formula_sum 'Sm8 Er10 Sc2'
_space_group_name_H-M_alt 'I 4 m m'
_space_group_IT_number 107
_space_group_name_Hall 'I 4 -2'
_cell_length_a 10.626
_cell_length_b 10.626
_cell_length_c 5.760
_cell_angle_alpha 90.00
_cell_angle_beta 90.00
_cell_angle_gamma 90.00
loop_
_atom_site_label
_atom_site_fract_x
_atom_site_fract_y
_atom_site_fract_z
_atom_site_occupancy
Sm1 0.000 0.322 0.000 1
Er1 0.000 0.000 0.229 1
Er2 0.187 0.187 0.511 1
Sc1 0.000 0.000 0.755 1
```

2:
Entry from the Alexandria database: Sm4Er5Sc after structural relaxation (GGA-PBE).

CIF file:
```
data_Sm4Er5Sc
_chemical_formula_sum 'Sm8 Er10 Sc2'
_space_group_name_H-M_alt 'C 1 2/m 1'
_space_group_IT_number 12
_cell_length_a 18.318
_cell_length_b 3.540
_cell_length_c 9.969
_cell_angle_alpha 90.00
_cell_angle_beta 106.19
_cell_angle_gamma 90.00
loop_
_space_group_symop_operation_xyz
'x,y,z'
'-x,-y,-z'
'-x,y,-z'
'x,-y,z'
'x+1/2,y+1/2,z'
'-x+1/2,-y+1/2,-z'
'-x+1/2,y+1/2,-z'
'x+1/2,-y+1/2,z'
loop_
_atom_site_label
_atom_site_fract_x
_atom_site_fract_y
_atom_site_fract_z
_atom_site_occupancy
Sm1 0.097 0.000 0.296 1
Sm2 0.199 0.500 0.100 1
Er1 0.000 0.500 0.500 1
Er2 0.098 0.000 0.802 1
Er3 0.199 0.500 0.599 1
Sc1 0.000 0.500 0.000 1
```

Relative energy table, unit meV per atom: 1 194; 2 0

1:
Entry from the Alexandria database: Sm5Er2Sc after structural relaxation (GGA-PBE).

CIF file:
```
data_Sm5Er2Sc
_chemical_formula_sum 'Sm20 Er8 Sc4'
_space_group_name_H-M_alt 'I 4/m c m'
_space_group_IT_number 140
_space_group_name_Hall '-I 4 2c'
_cell_length_a 9.090
_cell_length_b 9.090
_cell_length_c 12.368
_cell_angle_alpha 90.00
_cell_angle_beta 90.00
_cell_angle_gamma 90.00
loop_
_atom_site_label
_atom_site_fract_x
_atom_site_fract_y
_atom_site_fract_z
_atom_site_occupancy
Sm1 0.000 0.000 0.000 1
Sm2 0.152 0.348 0.165 1
Er1 0.143 0.357 0.500 1
Sc1 0.000 0.000 0.250 1
```

2:
Entry from the Alexandria database: Sm5Er2Sc after structural relaxation (GGA-PBE).

CIF file:
```
data_Sm5Er2Sc
_chemical_formula_sum 'Sm20 Er8 Sc4'
_space_group_name_H-M_alt 'C 1 2/c 1'
_space_group_IT_number 15
_cell_length_a 16.132
_cell_length_b 9.868
_cell_length_c 6.677
_cell_angle_alpha 90.00
_cell_angle_beta 103.21
_cell_angle_gamma 90.00
loop_
_space_group_symop_operation_xyz
'x,y,z'
'-x,-y,-z'
'-x,y,-z+1/2'
'x,-y,z+1/2'
'x+1/2,y+1/2,z'
'-x+1/2,-y+1/2,-z'
'-x+1/2,y+1/2,-z+1/2'
'x+1/2,-y+1/2,z+1/2'
loop_
_atom_site_label
_atom_site_fract_x
_atom_site_fract_y
_atom_site_fract_z
_atom_site_occupancy
Sm1 0.000 0.063 0.250 1
Sm2 0.096 0.398 0.157 1
Sm3 0.210 0.078 0.056 1
Er1 0.089 0.256 0.660 1
Sc1 0.250 0.250 0.500 1
```

Relative energy table, unit meV per atom: 1 0; 2 11

1:
Entry from the Alexandria database: Sm3Er6Sc after structural relaxation (GGA-PBE).

CIF file:
```
data_Sm3Er6Sc
_chemical_formula_sum 'Sm3 Er6 Sc1'
_space_group_name_H-M_alt 'P -1'
_space_group_IT_number 2
_cell_length_a 6.081
_cell_length_b 6.100
_cell_length_c 9.301
_cell_angle_alpha 102.52
_cell_angle_beta 109.06
_cell_angle_gamma 99.57
loop_
_space_group_symop_operation_xyz
'x,y,z'
'-x,-y,-z'
loop_
_atom_site_label
_atom_site_fract_x
_atom_site_fract_y
_atom_site_fract_z
_atom_site_occupancy
Sm1 0.000 0.000 0.000 1
Sm2 0.200 0.601 0.204 1
Er1 0.197 0.098 0.696 1
Er2 0.398 0.699 0.897 1
Er3 0.403 0.204 0.403 1
Sc1 0.000 0.500 0.500 1
```

2:
Entry from the Alexandria database: Sm3Er6Sc after structural relaxation (GGA-PBE).

CIF file:
```
data_Sm3Er6Sc
_chemical_formula_sum 'Sm12 Er24 Sc4'
_space_group_name_H-M_alt 'C m c 21'
_space_group_IT_number 36
_cell_length_a 10.868
_cell_length_b 18.764
_cell_length_c 6.175
_cell_angle_alpha 90.00
_cell_angle_beta 90.00
_cell_angle_gamma 90.00
loop_
_space_group_symop_operation_xyz
'x,y,z'
'-x,-y,z+1/2'
'-x,y,z'
'x,-y,z+1/2'
'x+1/2,y+1/2,z'
'-x+1/2,-y+1/2,z+1/2'
'-x+1/2,y+1/2,z'
'x+1/2,-y+1/2,z+1/2'
loop_
_atom_site_label
_atom_site_fract_x
_atom_site_fract_y
_atom_site_fract_z
_atom_site_occupancy
Sm1 0.000 0.111 0.000 1
Sm2 0.168 0.388 0.389 1
Er1 0.000 0.221 0.568 1
Er2 0.000 0.452 0.848 1
Er3 0.165 0.047 0.475 1
Er4 0.249 0.210 0.300 1
Sc1 0.000 0.294 0.067 1
```

Relative energy table, unit meV per atom: 1 0; 2 116

1:
Entry from the Alexandria database: Sm4Er2Sc after structural relaxation (GGA-PBE).

CIF file:
```
data_Sm4Er2Sc
_chemical_formula_sum 'Sm8 Er4 Sc2'
_space_group_name_H-M_alt 'P 1 21/m 1'
_space_group_IT_number 11
_cell_length_a 6.122
_cell_length_b 6.564
_cell_length_c 11.393
_cell_angle_alpha 90.00
_cell_angle_beta 105.03
_cell_angle_gamma 90.00
loop_
_space_group_symop_operation_xyz
'x,y,z'
'-x,-y,-z'
'-x,y+1/2,-z'
'x,-y+1/2,z'
loop_
_atom_site_label
_atom_site_fract_x
_atom_site_fract_y
_atom_site_fract_z
_atom_site_occupancy
Sm1 0.047 0.250 0.371 1
Sm2 0.152 0.250 0.945 1
Sm3 0.358 0.510 0.216 1
Er1 0.281 0.750 0.920 1
Er2 0.385 0.750 0.503 1
Sc1 0.148 0.250 0.665 1
```

2:
Entry from the Alexandria database: Sm4Er2Sc after structural relaxation (GGA-PBE).

CIF file:
```
data_Sm4Er2Sc
_chemical_formula_sum 'Sm16 Er8 Sc4'
_space_group_name_H-M_alt 'C 1 2/c 1'
_space_group_IT_number 15
_cell_length_a 6.124
_cell_length_b 24.766
_cell_length_c 6.133
_cell_angle_alpha 90.00
_cell_angle_beta 109.22
_cell_angle_gamma 90.00
loop_
_space_group_symop_operation_xyz
'x,y,z'
'-x,-y,-z'
'-x,y,-z+1/2'
'x,-y,z+1/2'
'x+1/2,y+1/2,z'
'-x+1/2,-y+1/2,-z'
'-x+1/2,y+1/2,-z+1/2'
'x+1/2,-y+1/2,z+1/2'
loop_
_atom_site_label
_atom_site_fract_x
_atom_site_fract_y
_atom_site_fract_z
_atom_site_occupancy
Sm1 0.000 0.036 0.250 1
Sm2 0.000 0.249 0.750 1
Sm3 0.000 0.322 0.250 1
Sm4 0.000 0.463 0.250 1
Er1 0.000 0.177 0.250 1
Er2 0.000 0.393 0.750 1
Sc1 0.000 0.107 0.750 1
```

Relative energy table, unit meV per atom: 1 108; 2 0

1:
Entry from the Alexandria database: TbSmErSc after structural relaxation (GGA-PBE).

CIF file:
```
data_TbSmErSc
_chemical_formula_sum 'Tb4 Sm4 Er4 Sc4'
_space_group_name_H-M_alt 'F -4 3 m'
_space_group_IT_number 216
_space_group_name_Hall 'F -4 2 3'
_cell_length_a 7.852
_cell_length_b 7.852
_cell_length_c 7.852
_cell_angle_alpha 90.00
_cell_angle_beta 90.00
_cell_angle_gamma 90.00
loop_
_atom_site_label
_atom_site_fract_x
_atom_site_fract_y
_atom_site_fract_z
_atom_site_occupancy
Tb1 0.000 0.000 0.000 1
Sm1 0.000 0.000 0.500 1
Er1 0.250 0.250 0.250 1
Sc1 0.250 0.250 0.750 1
```

2:
Entry from the Alexandria database: TbSmErSc after structural relaxation (GGA-PBE).

CIF file:
```
data_TbSmErSc
_chemical_formula_sum 'Tb2 Sm2 Er2 Sc2'
_space_group_name_H-M_alt 'I m m 2'
_space_group_IT_number 44
_cell_length_a 3.762
_cell_length_b 5.616
_cell_length_c 11.497
_cell_angle_alpha 90.00
_cell_angle_beta 90.00
_cell_angle_gamma 90.00
loop_
_space_group_symop_operation_xyz
'x,y,z'
'-x,-y,z'
'-x,y,z'
'x,-y,z'
'x+1/2,y+1/2,z+1/2'
'-x+1/2,-y+1/2,z+1/2'
'-x+1/2,y+1/2,z+1/2'
'x+1/2,-y+1/2,z+1/2'
loop_
_atom_site_label
_atom_site_fract_x
_atom_site_fract_y
_atom_site_fract_z
_atom_site_occupancy
Tb1 0.000 0.000 0.000 1
Sm1 0.000 0.500 0.228 1
Er1 0.000 0.000 0.461 1
Sc1 0.000 0.500 0.732 1
```

Relative energy table, unit meV per atom: 1 13; 2 0

1:
Entry from the Alexandria database: SmErScZn after structural relaxation (GGA-PBE).

CIF file:
```
data_SmErScZn
_chemical_formula_sum 'Sm4 Er4 Sc4 Zn4'
_space_group_name_H-M_alt 'F -4 3 m'
_space_group_IT_number 216
_space_group_name_Hall 'F -4 2 3'
_cell_length_a 7.404
_cell_length_b 7.404
_cell_length_c 7.404
_cell_angle_alpha 90.00
_cell_angle_beta 90.00
_cell_angle_gamma 90.00
loop_
_atom_site_label
_atom_site_fract_x
_atom_site_fract_y
_atom_site_fract_z
_atom_site_occupancy
Sm1 0.000 0.000 0.000 1
Er1 0.000 0.000 0.500 1
Sc1 0.250 0.250 0.250 1
Zn1 0.250 0.250 0.750 1
```

2:
Entry from the Alexandria database: SmErScZn after structural relaxation (GGA-PBE).

CIF file:
```
data_SmErScZn
_chemical_formula_sum 'Sm1 Er1 Sc1 Zn1'
_space_group_name_H-M_alt 'P 4 m m'
_space_group_IT_number 99
_cell_length_a 3.468
_cell_length_b 3.468
_cell_length_c 8.498
_cell_angle_alpha 90.00
_cell_angle_beta 90.00
_cell_angle_gamma 90.00
loop_
_space_group_symop_operation_xyz
'x,y,z'
'-y,x,z'
'-x,-y,z'
'y,-x,z'
'-x,y,z'
'y,x,z'
'x,-y,z'
'-y,-x,z'
loop_
_atom_site_label
_atom_site_fract_x
_atom_site_fract_y
_atom_site_fract_z
_atom_site_occupancy
Sm1 0.000 0.000 0.000 1
Er1 0.500 0.500 0.690 1
Sc1 0.500 0.500 0.289 1
Zn1 0.000 0.000 0.469 1
```

Relative energy table, unit meV per atom: 1 148; 2 0